Below is a geometry-optimized La2YCd structure, with properties calculated at the GGA-PBEsol level.

## Properties
DFT formation energy = -147 meV per atom
Energy = -19.30 eV per cell
Space-group type = No. 8

Unit cell a=3.788 b=5.627 c=6.590 alpha=114.80 beta=106.71 gamma=90.00
Fractional positions:
Y1 0.525 0.533 0.051
La1 0.980 0.989 0.961
La2 0.751 0.245 0.503
Cd1 0.243 0.733 0.486

Below is a geometry-optimized PbBr2 structure, with properties calculated at the GGA-PBEsol level.

## Properties
Energy = -9.93 eV per cell
Space-group type = No. 123
E_form (uncorrected) = -0.731 eV/atom

Unit cell a=3.790 b=5.017 c=5.017 alpha=90.00 beta=90.00 gamma=90.00
Fractional positions:
Pb1 0.000 0.000 0.000
Br1 0.500 0.000 0.500
Br2 0.500 0.500 0.000

Below is a geometry-optimized Be4CdP structure, with properties calculated at the GGA-PBEsol level.

## Properties
DFT formation energy = 400 meV per atom
Energy = -20.59 eV per cell
Space-group type = No. 216

Unit cell a=4.596 b=4.596 c=4.596 alpha=60.00 beta=60.00 gamma=60.00
Fractional positions:
P1 0.000 0.000 0.000
Be1 0.375 0.375 0.375
Be2 0.375 0.375 0.876
Be3 0.876 0.375 0.375
Be4 0.375 0.876 0.375
Cd1 0.750 0.750 0.750

Below is a geometry-optimized Re2SiPt structure, with properties calculated at the GGA-PBEsol level.

## Properties
Energy = -39.49 eV per cell
Space-group type = No. 119
E_form (uncorrected) = -0.030 eV/atom

Unit cell a=3.873 b=3.873 c=4.644 alpha=114.64 beta=114.64 gamma=90.00
Fractional positions:
Pt1 0.250 0.750 0.500
Re1 0.000 0.000 0.000
Re2 0.750 0.250 0.500
Si1 0.500 0.500 0.000